DFT (PBE with a Hubbard U) results for a relaxed structure of LiNbCr2O6.

Results
Its total energy is -7.8473 eV per atom.

a = 5.1609 Å, b = 5.1609 Å, c = 14.0077 Å
α = 90.00°, β = 90.00°, γ = 120.00°
Closest atoms and distances in Å follow each position.
Space group R3 (No. 146, hexagonal axes)
Inequivalent atoms, fractional coordinates:
Li 0.0000 0.0000 0.0000 [3 per cell]  3 O 2.02
Nb 0.0000 0.0000 0.4846 [3 per cell]  6 O 1.94-2.12
Cr 0.0000 0.0000 0.2820 [3 per cell]  6 O 2.02-2.05
Cr 0.0000 0.0000 0.7784 [3 per cell]  6 O 1.99-2.08
O 0.0079 0.6879 0.8709 [9 per cell]  1 Nb 1.94, 2 Cr 2.05-2.08
O 0.0237 0.3033 0.3779 [9 per cell]  2 Cr 1.99-2.02, 1 Li 2.02, 1 Nb 2.12